# 1
# Sr6CaY2TiCu6Hg2O20, relaxed, DFT GGA-PBE
# - final energy (eV per atom) = -6.0914
data_Sr6CaY2TiCu6Hg2O20
_chemical_formula_sum 'Sr6 Ca1 Y2 Ti1 Cu6 Hg2 O20'
_symmetry_space_group_name_H-M 'P m m m'
_symmetry_Int_Tables_number 47
_symmetry_space_group_name_Hall '-P 2 2'
_cell_length_a 3.762
_cell_length_b 11.622
_cell_length_c 12.123
_cell_angle_alpha 90.00
_cell_angle_beta 90.00
_cell_angle_gamma 90.00
loop_
_atom_site_label
_atom_site_type_symbol
_atom_site_fract_x
_atom_site_fract_y
_atom_site_fract_z
_atom_site_occupancy
Sr1 Sr 0.000 0.000 0.225 1
Sr2 Sr 0.000 0.338 0.204 1
Ca1 Ca 0.000 0.000 0.500 1
Y1 Y 0.000 0.332 0.500 1
Ti1 Ti 0.500 0.500 0.000 1
Cu1 Cu 0.500 0.167 0.366 1
Cu2 Cu 0.500 0.500 0.366 1
Hg1 Hg 0.500 0.169 0.000 1
O1 O 0.000 0.172 0.377 1
O2 O 0.000 0.387 0.000 1
O3 O 0.000 0.500 0.379 1
O4 O 0.500 0.000 0.368 1
O5 O 0.500 0.165 0.168 1
O6 O 0.500 0.334 0.377 1
O7 O 0.500 0.500 0.156 1

=====

# 2
# NdTm5Hg6, relaxed, DFT GGA-PBE
# - energy of formation (meV per atom) = -468
data_NdTm5Hg6
_chemical_formula_sum 'Nd2 Tm10 Hg12'
_symmetry_space_group_name_H-M 'I m m m'
_symmetry_Int_Tables_number 71
_symmetry_space_group_name_Hall '-I 2 2'
_cell_length_a 5.207
_cell_length_b 7.464
_cell_length_c 15.679
_cell_angle_alpha 90.00
_cell_angle_beta 90.00
_cell_angle_gamma 90.00
loop_
_atom_site_label
_atom_site_type_symbol
_atom_site_fract_x
_atom_site_fract_y
_atom_site_fract_z
_atom_site_occupancy
Nd1 Nd 0.000 0.000 0.000 1
Tm1 Tm 0.000 0.000 0.331 1
Tm2 Tm 0.000 0.500 0.000 1
Tm3 Tm 0.000 0.500 0.336 1
Hg1 Hg 0.000 0.234 0.500 1
Hg2 Hg 0.000 0.259 0.171 1